# 1
GGA-PBE SnPbO2, relaxed; excess energy over the best structure of this formula in the dataset = 656.1 meV per atom; SG = P4/mmm (123); E_form (uncorrected) = -0.56 eV/atom
1.0
3.177 0.000 0.000
0.000 3.177 0.000
0.000 0.000 6.353
Sn O Pb
1 2 1
direct
0.500 0.500 0.000 Sn
0.000 0.000 0.755 O
0.000 0.000 0.245 O
0.500 0.500 0.500 Pb

---

# 2
GGA-PBE SnPbO2, relaxed; excess energy over the best structure of this formula in the dataset = 320.9 meV per atom; SG = I-42d (122); E_form (uncorrected) = -0.89 eV/atom
1.0
5.614 0.000 0.000
0.000 5.614 0.000
2.807 2.807 5.364
Sn O Pb
2 4 2
direct
0.250 0.750 0.500 Sn
0.500 0.500 0.000 Sn
0.875 0.835 0.750 O
0.375 0.415 0.750 O
0.585 0.125 0.250 O
0.165 0.625 0.250 O
0.000 0.000 0.000 Pb
0.750 0.250 0.500 Pb

---

# 3
GGA-PBE Sn2Pb2O, relaxed; SG = P4/mbm (127); E_form (uncorrected) = -0.21 eV/atom
1.0
6.494 0.000 0.000
0.000 6.494 0.000
0.000 0.000 6.017
Pb Sn O
4 4 2
direct
0.692 0.808 0.500 Pb
0.308 0.192 0.500 Pb
0.808 0.308 0.500 Pb
0.192 0.692 0.500 Pb
0.317 0.817 0.000 Sn
0.683 0.183 0.000 Sn
0.183 0.317 0.000 Sn
0.817 0.683 0.000 Sn
0.500 0.500 0.000 O
0.000 0.000 0.000 O

---

# 4
GGA-PBE Sr12Sn4PbO3, relaxed; SG = Im-3m (229); E_form (uncorrected) = -1.07 eV/atom
1.0
9.419 0.000 0.000
-3.140 8.880 0.000
-3.140 -4.440 7.691
Sn O Sr Pb
4 3 12 1
direct
0.500 0.500 0.500 Sn
0.500 0.000 0.000 Sn
0.000 0.500 0.000 Sn
0.000 0.000 0.500 Sn
0.500 0.500 0.000 O
0.000 0.500 0.500 O
0.500 0.000 0.500 O
0.724 0.000 0.724 Sr
0.500 0.250 0.750 Sr
0.500 0.750 0.250 Sr
0.250 0.750 0.500 Sr
0.000 0.724 0.724 Sr
0.750 0.500 0.250 Sr
0.276 0.276 0.000 Sr
0.724 0.724 0.000 Sr
0.250 0.500 0.750 Sr
0.750 0.250 0.500 Sr
0.000 0.276 0.276 Sr
0.276 0.000 0.276 Sr
0.000 0.000 0.000 Pb

---

# 5
GGA-PBE Sr12SnPb4O3, relaxed; SG = Im-3m (229); E_form (uncorrected) = -1.06 eV/atom
1.0
-1.814 -6.660 6.478
-3.043 -2.927 -8.472
9.325 1.584 -0.371
Sr Pb Sn O
12 4 1 3
direct
0.275 0.000 0.275 Sr
0.750 0.250 0.500 Sr
0.250 0.500 0.750 Sr
0.000 0.275 0.275 Sr
0.250 0.750 0.500 Sr
0.000 0.725 0.725 Sr
0.725 0.725 0.000 Sr
0.500 0.750 0.250 Sr
0.750 0.500 0.250 Sr
0.275 0.275 0.000 Sr
0.725 0.000 0.725 Sr
0.500 0.250 0.750 Sr
0.000 0.000 0.500 Pb
0.000 0.500 0.000 Pb
0.500 0.500 0.500 Pb
0.500 0.000 0.000 Pb
0.000 0.000 0.000 Sn
0.000 0.500 0.500 O
0.500 0.500 0.000 O
0.500 0.000 0.500 O

---

# 6
GGA-PBE Sr2SnPbO5, relaxed; SG = Cmc2_1 (36); E_form (uncorrected) = -1.96 eV/atom
1.0
3.398 0.000 0.000
-1.699 8.254 0.000
0.000 0.000 10.065
O Sr Sn Pb
10 4 2 2
direct
0.351 0.701 0.005 O
0.897 0.793 0.508 O
0.498 0.995 0.273 O
0.719 0.439 0.146 O
0.719 0.437 0.868 O
0.103 0.207 0.008 O
0.649 0.299 0.505 O
0.281 0.561 0.646 O
0.281 0.563 0.368 O
0.502 0.005 0.773 O
0.129 0.257 0.293 Sr
0.127 0.253 0.722 Sr
0.871 0.743 0.793 Sr
0.873 0.747 0.222 Sr
0.772 0.544 0.507 Sn
0.228 0.456 0.007 Sn
0.513 0.027 0.002 Pb
0.487 0.973 0.502 Pb

---

# 7
GGA-PBE TaSnPb2O6, relaxed; SG = Pmmn (59); E_form (uncorrected) = -1.71 eV/atom
1.0
-0.558 -5.291 -2.950
3.928 -2.532 3.798
-6.300 -2.164 5.073
Pb O Ta Sn
4 12 2 2
direct
0.500 0.806 0.780 Pb
0.500 0.806 0.220 Pb
0.000 0.194 0.720 Pb
0.000 0.194 0.280 Pb
0.000 0.797 0.264 O
0.000 0.797 0.736 O
0.219 0.031 0.500 O
0.235 0.530 0.500 O
0.719 0.969 0.000 O
0.735 0.470 0.000 O
0.265 0.470 0.000 O
0.765 0.530 0.500 O
0.500 0.203 0.764 O
0.500 0.203 0.236 O
0.281 0.969 0.000 O
0.781 0.031 0.500 O
0.000 0.736 0.500 Ta
0.500 0.264 0.000 Ta
0.000 0.733 0.000 Sn
0.500 0.267 0.500 Sn

---

# 8
GGA-PBE TaSn2PbO8, relaxed; SG = Cmmm (65); E_form (uncorrected) = -1.79 eV/atom
1.0
-0.071 4.746 1.237
-3.320 -0.908 3.491
4.907 -1.070 4.389
O Sn Ta Pb
8 2 1 1
direct
0.802 0.199 0.786 O
0.802 0.199 0.214 O
0.198 0.801 0.214 O
0.323 0.322 0.500 O
0.677 0.678 0.500 O
0.198 0.801 0.786 O
0.701 0.702 0.000 O
0.299 0.298 0.000 O
0.500 0.500 0.757 Sn
0.500 0.500 0.243 Sn
0.000 0.000 0.000 Ta
0.000 0.000 0.500 Pb

---

# 9
GGA-PBE TaSnPbO6, relaxed; SG = P-31c (163); E_form (uncorrected) = -1.85 eV/atom
1.0
-4.911 1.211 -2.050
2.364 -4.768 -1.214
-4.325 -4.157 7.905
O Ta Sn Pb
12 2 2 2
direct
0.011 0.638 0.860 O
0.627 0.989 0.860 O
0.011 0.373 0.640 O
0.627 0.638 0.640 O
0.362 0.989 0.640 O
0.373 0.362 0.360 O
0.362 0.373 0.860 O
0.638 0.627 0.140 O
0.989 0.362 0.140 O
0.638 0.011 0.360 O
0.373 0.011 0.140 O
0.989 0.627 0.360 O
0.667 0.333 0.250 Ta
0.333 0.667 0.750 Ta
0.667 0.333 0.750 Sn
0.333 0.667 0.250 Sn
0.000 0.000 0.000 Pb
0.000 0.000 0.500 Pb

---

# 10
GGA-PBE Tc2SnPbO8, relaxed; SG = C2/m (12); E_form (uncorrected) = -1.27 eV/atom
1.0
6.385 0.000 0.000
3.192 5.815 1.691
3.192 3.985 6.874
O Pb Tc Sn
8 1 2 1
direct
0.792 0.072 0.743 O
0.208 0.928 0.257 O
0.643 0.496 0.218 O
0.394 0.072 0.743 O
0.606 0.928 0.257 O
0.183 0.427 0.208 O
0.817 0.573 0.792 O
0.357 0.504 0.782 O
0.000 0.000 0.000 Pb
0.679 0.739 0.902 Tc
0.321 0.261 0.098 Tc
0.500 0.500 0.500 Sn

---

# 11
GGA-PBE Sn2TePbO8, relaxed; SG = Cmmm (65); E_form (uncorrected) = -1.23 eV/atom
1.0
-1.260 1.955 4.371
3.898 -2.185 2.136
3.754 5.395 -1.330
O Pb Sn Te
8 1 2 1
direct
0.801 0.199 0.245 O
0.199 0.801 0.755 O
0.801 0.199 0.755 O
0.688 0.688 0.000 O
0.199 0.801 0.245 O
0.312 0.312 0.000 O
0.685 0.685 0.500 O
0.315 0.315 0.500 O
0.000 0.000 0.500 Pb
0.500 0.500 0.750 Sn
0.500 0.500 0.250 Sn
0.000 0.000 0.000 Te

---

# 12
GGA-PBE TiSnPb2O6, relaxed; SG = Pmmn (59); E_form (uncorrected) = -1.82 eV/atom
1.0
-2.984 2.617 4.201
0.778 -4.616 3.428
6.825 3.248 2.824
O Ti Pb Sn
12 2 4 2
direct
0.500 0.229 0.757 O
0.000 0.771 0.743 O
0.762 0.014 0.500 O
0.743 0.486 0.000 O
0.238 0.014 0.500 O
0.262 0.986 0.000 O
0.757 0.514 0.500 O
0.500 0.229 0.243 O
0.000 0.771 0.257 O
0.257 0.486 0.000 O
0.243 0.514 0.500 O
0.738 0.986 0.000 O
0.500 0.275 0.000 Ti
0.000 0.725 0.500 Ti
0.000 0.201 0.738 Pb
0.500 0.799 0.238 Pb
0.000 0.201 0.262 Pb
0.500 0.799 0.762 Pb
0.000 0.737 0.000 Sn
0.500 0.263 0.500 Sn